No. 1
The following is a DFT calculation (PBE-GGA) of an optimized crystal structure of HfCdCuPb.

Results
- Spin magnetization: 0.16 μB/f.u.
- Energy: -4.2370 eV per atom
- Energy above the most stable polymorph in this dataset: 0 meV per atom

Cell lengths 6.929, 6.929, 6.929 Å; angles 90.00, 90.00, 90.00 degrees
Space group F-43m (No. 216)
One atom of each set of equivalent atoms:
Hf  0.000  0.000  0.000 (multiplicity 4)
Cd  0.250  0.250  0.750 (multiplicity 4)
Cu  0.000  0.000  0.500 (multiplicity 4)
Pb  0.250  0.250  0.250 (multiplicity 4)


No. 2
The following is a DFT calculation (PBE-GGA) of an optimized crystal structure of HfCdCuSb.

Results
- Spin magnetization: 0.00 μB/f.u.
- Energy: -4.3397 eV per atom
- Energy above the most stable polymorph in this dataset: 130 meV per atom

Cell lengths 6.913, 6.913, 6.913 Å; angles 90.00, 90.00, 90.00 degrees
Space group F-43m (No. 216)
One atom of each set of equivalent atoms:
Hf  0.000  0.000  0.000 (multiplicity 4)
Cd  0.250  0.250  0.250 (multiplicity 4)
Cu  0.250  0.250  0.750 (multiplicity 4)
Sb  0.000  0.000  0.500 (multiplicity 4)


No. 3
The following is a DFT calculation (PBE-GGA) of an optimized crystal structure of HfCdCuSb.

Results
- Spin magnetization: 0.00 μB/f.u.
- Energy: -4.4700 eV per atom
- Energy above the most stable polymorph in this dataset: 0 meV per atom

Cell lengths 6.870, 6.870, 6.870 Å; angles 90.00, 90.00, 90.00 degrees
Space group F-43m (No. 216)
One atom of each set of equivalent atoms:
Hf  0.000  0.000  0.000 (multiplicity 4)
Cd  0.250  0.250  0.750 (multiplicity 4)
Cu  0.000  0.000  0.500 (multiplicity 4)
Sb  0.250  0.250  0.250 (multiplicity 4)


No. 4
The following is a DFT calculation (PBE-GGA) of an optimized crystal structure of HfCdCuSi.

Results
- Spin magnetization: 0.04 μB/f.u.
- Energy: -4.8404 eV per atom
- Energy above the most stable polymorph in this dataset: 0 meV per atom

Cell lengths 6.494, 6.494, 6.494 Å; angles 90.00, 90.00, 90.00 degrees
Space group F-43m (No. 216)
One atom of each set of equivalent atoms:
Hf  0.000  0.000  0.000 (multiplicity 4)
Cd  0.250  0.250  0.750 (multiplicity 4)
Cu  0.000  0.000  0.500 (multiplicity 4)
Si  0.250  0.250  0.250 (multiplicity 4)


No. 5
The following is a DFT calculation (PBE-GGA) of an optimized crystal structure of HfCdCuSi.

Results
- Spin magnetization: 0.00 μB/f.u.
- Energy: -4.6533 eV per atom
- Energy above the most stable polymorph in this dataset: 187 meV per atom

Cell lengths 6.547, 6.547, 6.547 Å; angles 90.00, 90.00, 90.00 degrees
Space group F-43m (No. 216)
One atom of each set of equivalent atoms:
Hf  0.000  0.000  0.000 (multiplicity 4)
Cd  0.250  0.250  0.250 (multiplicity 4)
Cu  0.250  0.250  0.750 (multiplicity 4)
Si  0.000  0.000  0.500 (multiplicity 4)


No. 6
The following is a DFT calculation (PBE-GGA) of an optimized crystal structure of HfTlCdCu.

Results
- Spin magnetization: 0.00 μB/f.u.
- Energy: -3.9270 eV per atom
- Energy above the most stable polymorph in this dataset: 35 meV per atom

Cell lengths 6.822, 6.822, 6.822 Å; angles 90.00, 90.00, 90.00 degrees
Space group F-43m (No. 216)
One atom of each set of equivalent atoms:
Hf  0.000  0.000  0.000 (multiplicity 4)
Tl  0.000  0.000  0.500 (multiplicity 4)
Cd  0.250  0.250  0.250 (multiplicity 4)
Cu  0.250  0.250  0.750 (multiplicity 4)


Q: energy of number 2 (HfCdCuSb)?
A: -4.3397 eV per atom


Q: Among the records above, which one has the highest spin magnetization?
A: HfCdCuPb